No. 1
## GdPOsO (PBE)

Data for a relaxed GdPOsO crystal.

The value obtained for the calculated density is 10.737 g cm⁻³. The energy above the lowest structure with this stoichiometry is 1987 meV/atom.

It has space group P4/nmm (No. 129, origin choice 2), with a = 4.2982 Å, b = 4.2982 Å, c = 6.6042 Å, α = 90.00°, β = 90.00° and γ = 90.00°. The distinct sites, in fractional coordinates, are Gd at (0.2500, 0.7500, 0.0000), P at (0.2500, 0.2500, 0.2817), Os at (0.2500, 0.2500, 0.6322) and O at (0.2500, 0.7500, 0.5000).


No. 2
## Gd2P2OsPdO2 (PBE)

Data for a relaxed Gd2P2OsPdO2 crystal.

The total energy comes out at -7.672 eV per atom. The value obtained for the calculated density is 9.109 g cm⁻³.

It has space group P-4m2 (No. 115), with a = 3.9783 Å, b = 3.9783 Å, c = 8.1216 Å, α = 90.00°, β = 90.00° and γ = 90.00°. The distinct sites, in fractional coordinates, are Gd at (0.0000, 0.5000, 0.1363), P at (0.0000, 0.5000, 0.6617), Os at (0.0000, 0.0000, 0.5000), Pd at (0.5000, 0.5000, 0.5000), O at (0.0000, 0.0000, 0.0000) and O at (0.5000, 0.5000, 0.0000).


No. 3
## Gd2P2OsPtO2 (PBE)

Data for a relaxed Gd2P2OsPtO2 crystal.

The total energy comes out at -7.796 eV per atom. The value obtained for the calculated density is 10.256 g cm⁻³.

It has space group P-4m2 (No. 115), with a = 3.9731 Å, b = 3.9731 Å, c = 8.1416 Å, α = 90.00°, β = 90.00° and γ = 90.00°. The distinct sites, in fractional coordinates, are Gd at (0.0000, 0.5000, 0.1368), P at (0.0000, 0.5000, 0.6635), Os at (0.0000, 0.0000, 0.5000), Pt at (0.5000, 0.5000, 0.5000), O at (0.0000, 0.0000, 0.0000) and O at (0.5000, 0.5000, 0.0000).


No. 4
## GdOsPb2O6 (PBE)

Data for a relaxed GdOsPb2O6 crystal.

The value obtained for the calculated density is 9.489 g cm⁻³. The energy above the lowest structure with this stoichiometry is 1290 meV/atom.

It has space group Fm-3m (No. 225), with a = 8.4366 Å, b = 8.4366 Å, c = 8.4366 Å, α = 90.00°, β = 90.00° and γ = 90.00°. The distinct sites, in fractional coordinates, are Gd at (0.0000, 0.0000, 0.0000), Os at (0.0000, 0.0000, 0.5000), Pb at (0.2500, 0.2500, 0.2500) and O at (0.0000, 0.2500, 0.2500).


No. 5
## GdOsPb2O6 (PBE)

Data for a relaxed GdOsPb2O6 crystal.

The value obtained for the calculated density is 9.563 g cm⁻³. The energy above the lowest structure with this stoichiometry is 95 meV/atom.

It has space group P-1 (No. 2), with a = 5.1218 Å, b = 5.1796 Å, c = 5.8552 Å, α = 89.11°, β = 88.70° and γ = 73.60°. The distinct sites, in fractional coordinates, are Gd at (0.0000, 0.0000, 0.0000), Os at (0.5000, 0.5000, 0.0000), Pb at (0.3141, 0.3108, 0.5095), O at (0.2795, 0.2692, 0.0031), O at (0.2798, 0.7077, 0.2647) and O at (0.2863, 0.7094, 0.7361).


No. 6
## GdOsPb2O6 (PBE)

Data for a relaxed GdOsPb2O6 crystal.

The value obtained for the calculated density is 10.013 g cm⁻³. The energy above the lowest structure with this stoichiometry is 0 meV/atom.

It has space group I4/m (No. 87), with a = 5.8158 Å, b = 5.8158 Å, c = 8.4127 Å, α = 90.00°, β = 90.00° and γ = 90.00°. The distinct sites, in fractional coordinates, are Gd at (0.0000, 0.0000, 0.0000), Os at (0.0000, 0.0000, 0.5000), Pb at (0.0000, 0.5000, 0.2500), O at (0.0000, 0.0000, 0.2665) and O at (0.1716, 0.2916, 0.5000).


No. 7
## PrGdSb2Os2O2 (PBE)

Data for a relaxed PrGdSb2Os2O2 crystal.

The total energy comes out at -7.675 eV per atom. The value obtained for the calculated density is 10.379 g cm⁻³.

It has space group P4mm (No. 99), with a = 4.2184 Å, b = 4.2184 Å, c = 8.5788 Å, α = 90.00°, β = 90.00° and γ = 90.00°. The distinct sites, in fractional coordinates, are Pr at (0.0000, 0.0000, 0.0000), Gd at (0.5000, 0.5000, 0.2496), Sb at (0.0000, 0.0000, 0.4443), Sb at (0.5000, 0.5000, 0.8020), Os at (0.0000, 0.5000, 0.6231) and O at (0.0000, 0.5000, 0.1340).


No. 8
## Gd2P2O7 (PBE)

Data for a relaxed Gd2P2O7 crystal.

The total energy comes out at -7.196 eV per atom. The value obtained for the calculated density is 6.633 g cm⁻³.

It has space group Fd-3m (No. 227, origin choice 2), with a = 9.9269 Å, b = 9.9269 Å, c = 9.9269 Å, α = 90.00°, β = 90.00° and γ = 90.00°. The distinct sites, in fractional coordinates, are Gd at (0.0000, 0.0000, 0.0000), P at (0.0000, 0.0000, 0.5000), O at (0.0715, 0.3750, 0.8750) and O at (0.1250, 0.1250, 0.1250).